The following is a PBE-GGA calculation of a relaxed TbPm2Pa crystal, from Alexandria via LeMat-Bulk.

Lattice parameters (Å, degrees): 3.3735 3.3735 37.2844 90.00 90.00 120.00
Space group R-3m (No. 166, hexagonal axes)
Asymmetric unit:
Tb 0.0000 0.0000 0.0000
Pm 0.0000 0.0000 0.4135
Pa 0.0000 0.0000 0.5000

The distance to the lowest polymorph of the same formula comes out at 147.6 meV/atom. As for the final energy: -22.40 eV per formula unit. The value obtained for the formation energy from the elements is 0.306 eV per atom. The calculation puts the density of states at the Fermi level at 16.4 states/eV/cell. The size of the total moment is 0.00 μB/f.u.

The following is a PBE-GGA calculation of a relaxed SrAsPt2 crystal, from Alexandria via LeMat-Bulk.

Lattice parameters (Å, degrees): 4.348 10.612 7.121 90.00 90.00 90.00
Space group Cmcm (No. 63)
Asymmetric unit:
Sr 0.000 0.056 0.250
As 0.000 0.229 0.750
Pt 0.000 0.350 0.054

As for the final energy: -21.12 eV per formula unit. The value obtained for the formation energy from the elements is -0.677 eV per atom. The calculation puts the density of states at the Fermi level at 8.6 states/eV/cell. The size of the total moment is 0.00 μB/f.u.